Entry 1:
{
  "formula": "NdHoPu2N4",
  "functional": "PBE-GGA",
  "state": "optimized geometry",
  "final_energy_ev_per_cell": -82.49,
  "dos_ef_per_ev_fu": 12.9,
  "formation_energy_uncorrected_ev_per_atom": -1.40,
  "magnetic_moment_mub_per_atom": 1.1723,
  "lattice_angstrom": [[3.5151, 0.0000, 0.0000], [0.0000, 6.0479, -0.1071], [0.0000, 2.1425, 5.7136]],
  "species": ["N", "N", "Pu", "Ho", "N", "Pu", "N", "Nd"],
  "frac_coords": [[0.0000, 0.2302, 0.2667], [0.5000, 0.2376, 0.7445], [0.0000, 0.0000, 0.0000], [0.0000, 0.5000, 0.5000], [0.5000, 0.7624, 0.2555], [0.5000, 0.0000, 0.5000], [0.0000, 0.7698, 0.7333], [0.5000, 0.5000, 0.0000]]
}



Entry 2:
{
  "formula": "LiHo2Cd",
  "functional": "PBE-GGA",
  "state": "optimized geometry",
  "formation_enthalpy_0k_ev_per_atom": -0.12,
  "relative_energy_mev_per_atom": 0.0,
  "final_energy_ev_per_cell": -12.45,
  "dos_ef_per_ev_fu": 4.0,
  "magnetic_moment_mub_per_atom": 0.0000,
  "lattice_angstrom": [[3.7666, 0.0000, 0.0000], [0.0000, 5.1945, 0.0000], [0.0000, 0.0000, 5.1945]],
  "species": ["Ho", "Li", "Ho", "Cd"],
  "frac_coords": [[0.0000, 0.0000, 0.5000], [0.5000, 0.5000, 0.5000], [0.0000, 0.5000, 0.0000], [0.5000, 0.0000, 0.0000]]
}



Entry 3:
{
  "formula": "Th2BC",
  "functional": "PBE-GGA",
  "state": "optimized geometry",
  "formation_enthalpy_0k_ev_per_atom": -0.23,
  "relative_energy_mev_per_atom": 0.0,
  "final_energy_ev_per_cell": -63.30,
  "dos_ef_per_ev_fu": 3.3,
  "magnetic_moment_mub_per_atom": 0.0000,
  "lattice_angstrom": [[-1.1271, 1.9660, -2.7597], [3.2378, -0.8906, -1.9569], [-6.5893, -8.3371, -3.2482]],
  "species": ["B", "Th", "Th", "Th", "Th", "C", "C", "B"],
  "frac_coords": [[0.2500, 0.4808, 0.9615], [0.7500, 0.6925, 0.3851], [0.7500, 0.9282, 0.8564], [0.2500, 0.3075, 0.6149], [0.2500, 0.0718, 0.1436], [0.7500, 0.8083, 0.6166], [0.2500, 0.1917, 0.3834], [0.7500, 0.5192, 0.0385]]
}



Entry 4:
{
  "formula": "Th2IrRh2",
  "functional": "PBE-GGA",
  "state": "optimized geometry",
  "formation_enthalpy_0k_ev_per_atom": -0.79,
  "final_energy_ev_per_cell": -169.48,
  "dos_ef_per_ev_fu": 3.3,
  "magnetic_moment_mub_per_atom": 0.0000,
  "lattice_angstrom": [[-3.0477, 4.2143, 5.2925], [3.8680, -3.6770, 5.1553], [5.7385, 5.0414, -0.7098]],
  "species": ["Ir", "Rh", "Rh", "Th", "Ir", "Rh", "Th", "Th", "Th", "Rh", "Rh", "Ir", "Rh", "Ir", "Rh", "Th", "Th", "Th", "Rh", "Th"],
  "frac_coords": [[0.5000, 0.5000, 0.7506], [0.3704, 0.8704, 0.7500], [0.6296, 0.1296, 0.7500], [0.8176, 0.3176, 0.5000], [0.0000, 0.0000, 0.2506], [0.6296, 0.1296, 0.2500], [0.3176, 0.1824, 0.5000], [0.1824, 0.6824, 0.5000], [0.6824, 0.8176, 0.5000], [0.1296, 0.3704, 0.2500], [0.3704, 0.8704, 0.2500], [0.5000, 0.5000, 0.2494], [0.8704, 0.6296, 0.7500], [0.0000, 0.0000, 0.7494], [0.8704, 0.6296, 0.2500], [0.1824, 0.6824, 0.0000], [0.3176, 0.1824, 0.0000], [0.8176, 0.3176, 0.0000], [0.1296, 0.3704, 0.7500], [0.6824, 0.8176, 0.0000]]
}



Entry 5:
{
  "formula": "Cr2AgSb",
  "functional": "PBE-GGA",
  "state": "optimized geometry",
  "final_energy_ev_per_cell": -24.77,
  "dos_ef_per_ev_fu": 1.6,
  "formation_energy_uncorrected_ev_per_atom": 0.36,
  "magnetic_moment_mub_per_atom": 0.0488,
  "lattice_angstrom": [[-0.4137, -4.1891, -2.5166], [2.4335, -4.0943, -1.1696], [-1.6172, -3.1093, 3.6371]],
  "species": ["Cr", "Sb", "Ag", "Cr"],
  "frac_coords": [[0.7368, 0.7368, 0.7786], [0.4937, 0.4937, 0.5095], [0.2579, 0.2579, 0.2325], [0.0117, 0.0117, 0.9794]]
}



Entry 6:
{
  "formula": "Y4As3Cl",
  "functional": "PBE-GGA",
  "state": "optimized geometry",
  "final_energy_ev_per_cell": -54.03,
  "dos_ef_per_ev_fu": 2.3,
  "formation_energy_uncorrected_ev_per_atom": -1.55,
  "magnetic_moment_mub_per_atom": 0.0000,
  "lattice_angstrom": [[5.2782, 0.0046, -2.3396], [-1.0417, 5.1744, -2.3395], [-0.0068, -0.0084, 7.1079]],
  "species": ["Y", "Cl", "Y", "Y", "As", "As", "Y", "As"],
  "frac_coords": [[0.5000, 0.0000, 0.0000], [0.0000, 0.0000, 0.0000], [0.7389, 0.7389, 0.4778], [0.2611, 0.2611, 0.5222], [0.5000, 0.5000, 0.0000], [0.2500, 0.7500, 0.5000], [0.0000, 0.5000, 0.0000], [0.7500, 0.2500, 0.5000]]
}



Entry 7:
{
  "formula": "Nd4PbI5",
  "functional": "PBE-GGA",
  "state": "optimized geometry",
  "final_energy_ev_per_cell": -41.61,
  "dos_ef_per_ev_fu": 5.3,
  "formation_energy_uncorrected_ev_per_atom": -1.11,
  "magnetic_moment_mub_per_atom": 0.0000,
  "lattice_angstrom": [[4.4185, 0.0000, 0.0000], [0.0000, 9.2964, 0.2509], [-2.2093, -2.1937, 9.5324]],
  "species": ["I", "Nd", "I", "Pb", "I", "Nd", "I", "Nd", "I", "Nd"],
  "frac_coords": [[0.1693, 0.8152, 0.3386], [0.3400, 0.9322, 0.6800], [0.8307, 0.1848, 0.6614], [0.5000, 0.0000, 0.0000], [0.1684, 0.3240, 0.3368], [0.0015, 0.2317, 0.0031], [0.5000, 0.5000, 0.0000], [0.6600, 0.0678, 0.3200], [0.8316, 0.6760, 0.6632], [0.9985, 0.7683, 0.9969]]
}



Entry 8:
{
  "formula": "Ho3Be2SiPt9",
  "functional": "PBE-GGA",
  "state": "optimized geometry",
  "final_energy_ev_per_cell": -94.37,
  "dos_ef_per_ev_fu": 3.4,
  "formation_energy_uncorrected_ev_per_atom": -0.89,
  "magnetic_moment_mub_per_atom": 0.0000,
  "lattice_angstrom": [[5.7315, 0.0000, 0.0000], [-2.8658, 4.9636, 0.0000], [0.0000, 0.0000, 9.2629]],
  "species": ["Pt", "Ho", "Be", "Pt", "Pt", "Pt", "Ho", "Pt", "Pt", "Be", "Si", "Pt", "Pt", "Ho", "Pt"],
  "frac_coords": [[0.5000, 0.0000, 0.0000], [0.0000, 0.0000, 0.0000], [0.3333, 0.6667, 0.1534], [0.1640, 0.8360, 0.3069], [0.8360, 0.1640, 0.6931], [0.8360, 0.6719, 0.6931], [0.6667, 0.3333, 0.3960], [0.0000, 0.5000, 0.0000], [0.3281, 0.1640, 0.6931], [0.6667, 0.3333, 0.8466], [0.0000, 0.0000, 0.5000], [0.5000, 0.5000, 0.0000], [0.1640, 0.3281, 0.3069], [0.3333, 0.6667, 0.6040], [0.6719, 0.8360, 0.3069]]
}